The following is a GGA-PBE calculation of crystalline CaW2Au at its relaxed geometry, from Alexandria via LeMat-Bulk.

Cell: 5.172 5.928 2.768 Å, 79.64 82.94 114.05°
Atoms (fractional coordinates):
Au 0.000 0.500 0.500
W 0.500 0.000 0.500
Ca 0.500 0.500 0.000
W 0.000 0.000 0.000

Output
total energy	-0.528	Ry/atom
excess energy over the best structure of this formula in the dataset	0.304	eV/atom
DOS at the Fermi energy	0.859	states/eV per atom

***

The following is a GGA-PBE calculation of crystalline CaW2Au at its relaxed geometry, from Alexandria via LeMat-Bulk.

Cell: 2.762 2.762 9.717 Å, 90.00 90.00 90.00°
Atoms (fractional coordinates):
Ca 0.500 0.500 0.750
W 0.000 0.000 0.021
W 0.000 0.000 0.479
Au 0.500 0.500 0.250

Output
total energy	-0.520	Ry/atom
excess energy over the best structure of this formula in the dataset	0.419	eV/atom
DOS at the Fermi energy	1.252	states/eV per atom

***

The following is a GGA-PBE calculation of crystalline CaWAu2 at its relaxed geometry, from Alexandria via LeMat-Bulk.

Cell: 7.735 5.056 2.998 Å, 89.94 67.29 130.58°
Atoms (fractional coordinates):
Au 0.000 0.000 0.000
Au 0.500 0.000 0.500
W 0.500 0.500 0.000
Ca 0.000 0.500 0.500

Output
total energy	-0.386	Ry/atom
excess energy over the best structure of this formula in the dataset	0.000	eV/atom
DOS at the Fermi energy	0.811	states/eV per atom

***

The following is a GGA-PBE calculation of crystalline CaW2Au at its relaxed geometry, from Alexandria via LeMat-Bulk.

Cell: 3.844 3.844 11.188 Å, 80.11 80.11 90.00°
Atoms (fractional coordinates):
Ca 0.500 0.500 0.000
Ca 0.250 0.750 0.500
W 0.875 0.884 0.750
W 0.116 0.625 0.250
Au 0.000 0.000 0.000
W 0.375 0.366 0.750
Au 0.750 0.250 0.500
W 0.634 0.125 0.250

Output
total energy	-0.513	Ry/atom
excess energy over the best structure of this formula in the dataset	0.508	eV/atom
DOS at the Fermi energy	0.781	states/eV per atom

***

The following is a GGA-PBE calculation of crystalline Ca4WAu at its relaxed geometry, from Alexandria via LeMat-Bulk.

Cell: 6.228 6.228 6.228 Å, 60.00 60.00 60.00°
Atoms (fractional coordinates):
Ca 0.875 0.375 0.375
Ca 0.375 0.375 0.375
Au 0.000 0.000 0.000
Ca 0.375 0.375 0.875
Ca 0.375 0.875 0.375
W 0.750 0.750 0.750

Output
total energy	-0.221	Ry/atom
DOS at the Fermi energy	1.004	states/eV per atom

***

The following is a GGA-PBE calculation of crystalline CaWAu2 at its relaxed geometry, from Alexandria via LeMat-Bulk.

Cell: 5.468 5.468 5.468 Å, 135.74 135.74 64.39°
Atoms (fractional coordinates):
Au 0.250 0.750 0.500
W 0.750 0.250 0.500
Ca 0.500 0.500 0.000
Au 0.000 0.000 0.000

Output
total energy	-0.365	Ry/atom
excess energy over the best structure of this formula in the dataset	0.289	eV/atom
DOS at the Fermi energy	0.811	states/eV per atom

***

The following is a GGA-PBE calculation of crystalline CaWAu2 at its relaxed geometry, from Alexandria via LeMat-Bulk.

Cell: 2.970 4.409 6.091 Å, 90.00 90.00 90.00°
Atoms (fractional coordinates):
Au 0.000 0.000 0.955
W 0.500 0.500 0.808
Au 0.500 0.500 0.263
Ca 0.000 0.000 0.474

Output
total energy	-0.372	Ry/atom
excess energy over the best structure of this formula in the dataset	0.187	eV/atom
DOS at the Fermi energy	0.653	states/eV per atom

***

The following is a GGA-PBE calculation of crystalline CaWAu3 at its relaxed geometry, from Alexandria via LeMat-Bulk.

Cell: 5.092 5.092 5.092 Å, 90.00 90.00 90.00°
Atoms (fractional coordinates):
Ca 0.500 0.500 0.500
Au 0.000 0.000 0.500
W 0.000 0.000 0.000
Au 0.000 0.500 0.000
Au 0.500 0.000 0.000

Output
total energy	-0.333	Ry/atom
excess energy over the best structure of this formula in the dataset	0.000	eV/atom
DOS at the Fermi energy	0.719	states/eV per atom

***

The following is a GGA-PBE calculation of crystalline CaWAu2 at its relaxed geometry, from Alexandria via LeMat-Bulk.

Cell: 5.552 5.552 5.152 Å, 74.46 74.46 30.24°
Atoms (fractional coordinates):
W 0.265 0.265 0.165
Au 0.006 0.006 0.076
Au 0.738 0.738 0.687
Ca 0.491 0.491 0.572

Output
total energy	-0.380	Ry/atom
excess energy over the best structure of this formula in the dataset	0.081	eV/atom
DOS at the Fermi energy	0.804	states/eV per atom

***

The following is a GGA-PBE calculation of crystalline CaW2Au at its relaxed geometry, from Alexandria via LeMat-Bulk.

Cell: 6.097 6.097 4.650 Å, 67.55 67.55 28.75°
Atoms (fractional coordinates):
W 0.978 0.978 0.022
Ca 0.750 0.750 0.750
W 0.522 0.522 0.478
Au 0.250 0.250 0.250

Output
total energy	-0.539	Ry/atom
excess energy over the best structure of this formula in the dataset	0.161	eV/atom
DOS at the Fermi energy	0.579	states/eV per atom

***

The following is a GGA-PBE calculation of crystalline CaW3Au at its relaxed geometry, from Alexandria via LeMat-Bulk.

Cell: 4.949 4.949 4.949 Å, 90.00 90.00 90.00°
Atoms (fractional coordinates):
W 0.500 0.000 0.000
W 0.000 0.000 0.500
Au 0.000 0.000 0.000
W 0.000 0.500 0.000
Ca 0.500 0.500 0.500

Output
total energy	-0.480	Ry/atom
excess energy over the best structure of this formula in the dataset	0.000	eV/atom
DOS at the Fermi energy	1.166	states/eV per atom

***

The following is a GGA-PBE calculation of crystalline CaW2Au at its relaxed geometry, from Alexandria via LeMat-Bulk.

Cell: 2.785 2.785 9.510 Å, 90.00 90.00 90.00°
Atoms (fractional coordinates):
Ca 0.500 0.500 0.744
W 0.500 0.500 0.255
Au 0.000 0.000 0.482
W 0.000 0.000 0.019

Output
total energy	-0.538	Ry/atom
excess energy over the best structure of this formula in the dataset	0.165	eV/atom
DOS at the Fermi energy	0.748	states/eV per atom

***

The following is a GGA-PBE calculation of crystalline CaWAu at its relaxed geometry, from Alexandria via LeMat-Bulk.

Cell: 7.307 7.307 2.891 Å, 78.59 78.59 22.82°
Atoms (fractional coordinates):
Ca 0.334 0.334 0.666
W 0.657 0.657 0.343
Au 0.009 0.009 0.991

Output
total energy	-0.415	Ry/atom
excess energy over the best structure of this formula in the dataset	0.000	eV/atom
DOS at the Fermi energy	1.095	states/eV per atom

***

The following is a GGA-PBE calculation of crystalline CaW4Au at its relaxed geometry, from Alexandria via LeMat-Bulk.

Cell: 5.423 5.423 5.423 Å, 60.00 60.00 60.00°
Atoms (fractional coordinates):
Ca 0.000 0.000 0.000
W 0.374 0.374 0.878
W 0.374 0.878 0.374
W 0.878 0.374 0.374
W 0.374 0.374 0.374
Au 0.750 0.750 0.750

Output
total energy	-0.654	Ry/atom
DOS at the Fermi energy	1.279	states/eV per atom

***

The following is a GGA-PBE calculation of crystalline CaW2Au at its relaxed geometry, from Alexandria via LeMat-Bulk.

Cell: 3.134 4.595 5.204 Å, 90.00 90.00 90.00°
Atoms (fractional coordinates):
W 0.000 0.000 0.000
Au 0.500 0.000 0.500
W 0.500 0.500 0.000
Ca 0.000 0.500 0.500

Output
total energy	-0.532	Ry/atom
excess energy over the best structure of this formula in the dataset	0.246	eV/atom
DOS at the Fermi energy	0.888	states/eV per atom

***

The following is a GGA-PBE calculation of crystalline CaW2Au at its relaxed geometry, from Alexandria via LeMat-Bulk.

Cell: 3.566 3.566 6.758 Å, 90.00 90.00 90.00°
Atoms (fractional coordinates):
W 0.000 0.000 0.076
Au 0.500 0.500 0.250
Ca 0.500 0.500 0.750
W 0.000 0.000 0.424

Output
total energy	-0.505	Ry/atom
excess energy over the best structure of this formula in the dataset	0.616	eV/atom
DOS at the Fermi energy	1.576	states/eV per atom

***

The following is a GGA-PBE calculation of crystalline CaWAu2 at its relaxed geometry, from Alexandria via LeMat-Bulk.

Cell: 3.995 2.910 7.374 Å, 66.77 90.00 90.00°
Atoms (fractional coordinates):
Au 0.000 0.461 0.538
W 0.500 0.750 0.750
Ca 0.500 0.250 0.250
Au 0.000 0.039 0.962

Output
total energy	-0.384	Ry/atom
excess energy over the best structure of this formula in the dataset	0.024	eV/atom
DOS at the Fermi energy	0.779	states/eV per atom

***

The following is a GGA-PBE calculation of crystalline CaW2Au at its relaxed geometry, from Alexandria via LeMat-Bulk.

Cell: 5.550 5.550 5.550 Å, 144.53 126.27 66.04°
Atoms (fractional coordinates):
W 0.966 0.966 0.000
Au 0.516 0.516 0.000
W 0.772 0.272 0.500
Ca 0.246 0.746 0.500

Output
total energy	-0.528	Ry/atom
excess energy over the best structure of this formula in the dataset	0.306	eV/atom
DOS at the Fermi energy	0.758	states/eV per atom

***

The following is a GGA-PBE calculation of crystalline CaW2Au at its relaxed geometry, from Alexandria via LeMat-Bulk.

Cell: 4.697 4.697 4.697 Å, 60.00 60.00 60.00°
Atoms (fractional coordinates):
W 0.750 0.750 0.750
Ca 0.250 0.250 0.250
W 0.000 0.000 0.000
Au 0.500 0.500 0.500

Output
total energy	-0.528	Ry/atom
excess energy over the best structure of this formula in the dataset	0.298	eV/atom
DOS at the Fermi energy	0.854	states/eV per atom

***

The following is a GGA-PBE calculation of crystalline CaWAu2 at its relaxed geometry, from Alexandria via LeMat-Bulk.

Cell: 2.964 2.964 8.849 Å, 90.00 90.00 90.01°
Atoms (fractional coordinates):
Au 0.500 0.500 0.237
Au 0.000 0.000 0.991
Ca 0.000 0.000 0.499
W 0.500 0.500 0.774

Output
total energy	-0.376	Ry/atom
excess energy over the best structure of this formula in the dataset	0.130	eV/atom
DOS at the Fermi energy	0.408	states/eV per atom

***

The following is a GGA-PBE calculation of crystalline CaW2Au at its relaxed geometry, from Alexandria via LeMat-Bulk.

Cell: 4.957 3.892 3.892 Å, 90.00 90.00 90.00°
Atoms (fractional coordinates):
Au 0.500 0.500 0.000
W 0.000 0.000 0.000
W 0.000 0.500 0.500
Ca 0.500 0.000 0.500

Output
total energy	-0.528	Ry/atom
excess energy over the best structure of this formula in the dataset	0.299	eV/atom
DOS at the Fermi energy	0.749	states/eV per atom

***

The following is a GGA-PBE calculation of crystalline CaW2Au at its relaxed geometry, from Alexandria via LeMat-Bulk.

Cell: 10.237 10.237 10.237 Å, 16.31 16.31 16.31°
Atoms (fractional coordinates):
W 0.250 0.250 0.250
W 0.995 0.995 0.995
Ca 0.751 0.751 0.751
Au 0.504 0.504 0.504

Output
total energy	-0.527	Ry/atom
excess energy over the best structure of this formula in the dataset	0.313	eV/atom
DOS at the Fermi energy	0.954	states/eV per atom

***

The following is a GGA-PBE calculation of crystalline CaW2Au at its relaxed geometry, from Alexandria via LeMat-Bulk.

Cell: 5.277 2.834 5.065 Å, 85.76 90.00 90.00°
Atoms (fractional coordinates):
Ca 0.500 0.750 0.750
Au 0.500 0.250 0.250
W 0.000 0.081 0.995
W 0.000 0.419 0.505

Output
total energy	-0.532	Ry/atom
excess energy over the best structure of this formula in the dataset	0.255	eV/atom
DOS at the Fermi energy	0.773	states/eV per atom

***

The following is a GGA-PBE calculation of crystalline CaW2Au at its relaxed geometry, from Alexandria via LeMat-Bulk.

Cell: 10.339 10.339 10.339 Å, 16.12 16.12 16.12°
Atoms (fractional coordinates):
W 0.506 0.506 0.506
Au 0.250 0.250 0.250
Ca 0.750 0.750 0.750
W 0.994 0.994 0.994

Output
total energy	-0.513	Ry/atom
excess energy over the best structure of this formula in the dataset	0.515	eV/atom
DOS at the Fermi energy	0.848	states/eV per atom

***

The following is a GGA-PBE calculation of crystalline CaWAu2 at its relaxed geometry, from Alexandria via LeMat-Bulk.

Cell: 9.727 9.727 9.727 Å, 18.02 18.02 18.02°
Atoms (fractional coordinates):
Au 0.005 0.005 0.005
Ca 0.250 0.250 0.250
Au 0.495 0.495 0.495
W 0.750 0.750 0.750

Output
total energy	-0.368	Ry/atom
excess energy over the best structure of this formula in the dataset	0.247	eV/atom
DOS at the Fermi energy	1.021	states/eV per atom

***

The following is a GGA-PBE calculation of crystalline CaW2Au at its relaxed geometry, from Alexandria via LeMat-Bulk.

Cell: 3.260 3.331 8.085 Å, 66.94 90.00 90.00°
Atoms (fractional coordinates):
Au 0.000 0.532 0.472
W 0.000 0.956 0.058
Ca 0.500 0.765 0.746
W 0.500 0.248 0.223

Output
total energy	-0.550	Ry/atom
excess energy over the best structure of this formula in the dataset	0.000	eV/atom
DOS at the Fermi energy	0.957	states/eV per atom

***

The following is a GGA-PBE calculation of crystalline CaW2Au at its relaxed geometry, from Alexandria via LeMat-Bulk.

Cell: 2.723 5.041 5.469 Å, 90.00 90.00 90.00°
Atoms (fractional coordinates):
W 0.000 0.000 0.506
Au 0.500 0.500 0.250
W 0.000 0.000 0.994
Ca 0.500 0.500 0.750

Output
total energy	-0.519	Ry/atom
excess energy over the best structure of this formula in the dataset	0.431	eV/atom
DOS at the Fermi energy	0.703	states/eV per atom

***

The following is a GGA-PBE calculation of crystalline CaWAu2 at its relaxed geometry, from Alexandria via LeMat-Bulk.

Cell: 3.390 3.390 6.984 Å, 90.00 90.00 90.00°
Atoms (fractional coordinates):
Au 0.000 0.000 0.991
Ca 0.000 0.000 0.489
W 0.500 0.500 0.795
Au 0.500 0.500 0.225

Output
total energy	-0.369	Ry/atom
excess energy over the best structure of this formula in the dataset	0.224	eV/atom
DOS at the Fermi energy	0.774	states/eV per atom

***

The following is a GGA-PBE calculation of crystalline CaW2Au at its relaxed geometry, from Alexandria via LeMat-Bulk.

Cell: 2.758 2.758 9.860 Å, 90.00 90.00 99.97°
Atoms (fractional coordinates):
W 0.000 0.000 0.480
W 0.000 0.000 0.020
Au 0.500 0.500 0.250
Ca 0.500 0.500 0.750

Output
total energy	-0.520	Ry/atom
excess energy over the best structure of this formula in the dataset	0.412	eV/atom
DOS at the Fermi energy	0.931	states/eV per atom

***

The following is a GGA-PBE calculation of crystalline CaY2Au at its relaxed geometry, from Alexandria via LeMat-Bulk.

Cell: 3.628 3.628 9.362 Å, 90.00 90.00 90.07°
Atoms (fractional coordinates):
Ca 0.500 0.500 0.750
Au 0.500 0.500 0.250
Y 0.000 0.000 0.066
Y 0.000 0.000 0.434

Output
total energy	-0.361	Ry/atom
excess energy over the best structure of this formula in the dataset	0.040	eV/atom
DOS at the Fermi energy	0.974	states/eV per atom